Record 1
Entry from Alexandria via LeMat-Bulk: a relaxed Dy2Mg2Cu15 crystal (PBE).

Unit cell a=6.557 b=6.557 c=6.557 alpha=82.47 beta=82.47 gamma=82.47
Fractional positions:
Cu (0.349, 0.349, 0.842)
Cu (0.000, 0.000, 0.500)
Mg (0.105, 0.105, 0.105)
Cu (0.651, 0.158, 0.651)
Cu (0.842, 0.349, 0.349)
Mg (0.895, 0.895, 0.895)
Cu (0.500, 0.000, 0.000)
Cu (0.000, 0.500, 0.000)
Cu (0.000, 0.699, 0.301)
Cu (0.651, 0.651, 0.158)
Cu (0.699, 0.000, 0.301)
Cu (0.349, 0.842, 0.349)
Cu (0.301, 0.000, 0.699)
Cu (0.000, 0.301, 0.699)
Cu (0.158, 0.651, 0.651)
Cu (0.301, 0.699, 0.000)
Cu (0.699, 0.301, 0.000)
Dy (0.647, 0.647, 0.647)
Dy (0.353, 0.353, 0.353)

## Properties
**SG**: R-3m (166)

=====

Record 2
Entry from Alexandria via LeMat-Bulk: a relaxed DyMg2Cu9 crystal (PBE).

Unit cell a=5.053 b=5.053 c=15.965 alpha=90.00 beta=90.00 gamma=120.00
Fractional positions:
Cu (0.000, 0.000, 0.750)
Cu (0.168, 0.337, 0.377)
Cu (0.832, 0.168, 0.623)
Cu (0.832, 0.663, 0.623)
Cu (0.168, 0.337, 0.123)
Cu (0.663, 0.832, 0.377)
Cu (0.832, 0.663, 0.877)
Cu (0.168, 0.832, 0.377)
Mg (0.667, 0.333, 0.033)
Cu (0.667, 0.333, 0.750)
Cu (0.000, 0.000, 0.500)
Cu (0.000, 0.000, 0.000)
Cu (0.337, 0.168, 0.877)
Cu (0.333, 0.667, 0.250)
Cu (0.663, 0.832, 0.123)
Cu (0.832, 0.168, 0.877)
Cu (0.168, 0.832, 0.123)
Dy (0.667, 0.333, 0.250)
Cu (0.337, 0.168, 0.623)
Mg (0.333, 0.667, 0.533)
Cu (0.000, 0.000, 0.250)
Mg (0.333, 0.667, 0.967)
Mg (0.667, 0.333, 0.467)
Dy (0.333, 0.667, 0.750)

## Properties
**Energy above the lowest structure with this stoichiometry**: 0.000 eV per atom
**SG**: P6_3/mmc (194)

=====

Record 3
Entry from Alexandria via LeMat-Bulk: a relaxed Dy6Mg2Cu crystal (PBE).

Unit cell a=6.642 b=7.257 c=11.124 alpha=90.00 beta=73.46 gamma=90.00
Fractional positions:
Cu (0.000, 0.000, 0.500)
Mg (0.818, 0.415, 0.757)
Dy (0.822, 0.659, 0.500)
Dy (0.678, 0.159, 0.000)
Dy (0.343, 0.536, 0.753)
Dy (0.632, 0.204, 0.537)
Dy (0.368, 0.796, 0.463)
Dy (0.132, 0.296, 0.037)
Mg (0.318, 0.085, 0.257)
Mg (0.682, 0.915, 0.743)
Mg (0.182, 0.585, 0.243)
Dy (0.843, 0.964, 0.253)
Dy (0.868, 0.704, 0.963)
Dy (0.157, 0.036, 0.747)
Dy (0.322, 0.841, 0.000)
Dy (0.657, 0.464, 0.247)
Cu (0.500, 0.500, 0.000)
Dy (0.178, 0.341, 0.500)

## Properties
**SG**: P2_1/c (14)

=====

Record 4
Entry from Alexandria via LeMat-Bulk: a relaxed DyMg2Cu crystal (PBE).

Unit cell a=3.296 b=3.296 c=7.882 alpha=90.00 beta=90.00 gamma=90.00
Fractional positions:
Cu (0.500, 0.500, 0.000)
Mg (0.000, 0.000, 0.191)
Dy (0.500, 0.500, 0.500)
Mg (0.000, 0.000, 0.809)

## Properties
**SG**: P4/mmm (123)

=====

Record 5
Entry from Alexandria via LeMat-Bulk: a relaxed DyMg4Cu2 crystal (PBE).

Unit cell a=3.428 b=9.127 c=9.127 alpha=90.00 beta=90.00 gamma=90.00
Fractional positions:
Dy (0.500, 0.000, 0.000)
Mg (0.500, 0.818, 0.417)
Dy (0.000, 0.500, 0.500)
Cu (0.500, 0.315, 0.315)
Mg (0.000, 0.318, 0.083)
Mg (0.500, 0.182, 0.583)
Cu (0.500, 0.685, 0.685)
Mg (0.500, 0.583, 0.182)
Mg (0.000, 0.682, 0.917)
Mg (0.500, 0.417, 0.818)
Mg (0.000, 0.917, 0.682)
Cu (0.000, 0.185, 0.815)
Cu (0.000, 0.815, 0.185)
Mg (0.000, 0.083, 0.318)

## Properties
**Energy above the lowest structure with this stoichiometry**: 0.000 eV per atom
**SG**: P4_2/mnm (136)

=====

Record 6
Entry from Alexandria via LeMat-Bulk: a relaxed Dy5Mg4Cu crystal (PBE).

Unit cell a=3.657 b=3.657 c=19.281 alpha=90.00 beta=90.00 gamma=90.00
Fractional positions:
Dy (0.500, 0.500, 0.915)
Mg (0.000, 0.000, 0.396)
Mg (0.000, 0.000, 0.809)
Dy (0.500, 0.500, 0.293)
Dy (0.500, 0.500, 0.707)
Mg (0.000, 0.000, 0.604)
Dy (0.500, 0.500, 0.500)
Cu (0.000, 0.000, 0.000)
Dy (0.500, 0.500, 0.085)
Mg (0.000, 0.000, 0.191)

## Properties
**SG**: P4/mmm (123)

=====

Record 7
Entry from Alexandria via LeMat-Bulk: a relaxed Dy3MgCu8 crystal (PBE).

Unit cell a=5.190 b=5.190 c=8.965 alpha=73.18 beta=73.18 gamma=60.00
Fractional positions:
Mg (0.872, 0.872, 0.385)
Cu (0.943, 0.434, 0.190)
Cu (0.439, 0.938, 0.685)
Cu (0.188, 0.188, 0.435)
Cu (0.434, 0.434, 0.190)
Cu (0.938, 0.439, 0.685)
Cu (0.434, 0.943, 0.190)
Cu (0.938, 0.938, 0.685)
Dy (0.505, 0.505, 0.486)
Dy (0.379, 0.379, 0.864)
Cu (0.687, 0.687, 0.940)
Dy (0.995, 0.995, 0.016)

## Properties
**SG**: R3m (160)

=====

Record 8
Entry from Alexandria via LeMat-Bulk: a relaxed DyMgCu2 crystal (PBE).

Unit cell a=3.333 b=3.333 c=6.634 alpha=90.00 beta=90.00 gamma=90.00
Fractional positions:
Cu (0.000, 0.000, 0.227)
Dy (0.500, 0.500, 0.500)
Mg (0.500, 0.500, 0.000)
Cu (0.000, 0.000, 0.773)

## Properties
**SG**: P4/mmm (123)

=====

| no. | E (eV per atom) | mass density (Mg/m³) |
| --- | --- | --- |
| 1 | -4.0287 | 8.0 |
| 2 | -3.8980 | 7.4 |
| 3 | -3.8145 | 7.0 |
| 4 | -3.0051 | 5.3 |
| 5 | -2.8563 | 4.5 |
| 6 | -3.4450 | 6.3 |
| 7 | -4.2142 | 8.6 |
| 8 | -3.7445 | 7.1 |